Compound: Nd2Sm4Te3N2
Source: Alexandria
Functional: PBE-GGA
Structure: optimized geometry

```
Nd2Sm4Te3N2
1.0
-0.147 1.173 -4.538
2.760 -3.648 -1.033
-11.932 -6.345 1.171
Te Sm N Nd
3 4 2 2
direct
0.000 0.000 0.000
0.823 0.823 0.647
0.177 0.177 0.353
0.417 0.917 0.834
0.083 0.583 0.166
0.583 0.083 0.166
0.917 0.417 0.834
0.394 0.394 0.788
0.606 0.606 0.212
0.305 0.305 0.610
0.695 0.695 0.390
```

Output
uncorrected formation energy	-1.182	eV/atom
calculated volume	26.3	Å³/atom
total magnetic moment	0.0	μB/f.u.
calculated density	7.469	g cm⁻³
space-group type	I4/mmm, No. 139